The following is a DFT calculation (PBE-GGA) of a relaxed Li2Pr2SmMg5 crystal.

Electronic total energy: -2.6597 eV per atom
Size of the total moment: 0.00 μB/f.u.

Unit cell a=10.812 b=10.812 c=4.475 alpha=90.00 beta=90.00 gamma=90.00
Space group P4/mbm (No. 127)
One atom of each set of equivalent atoms:
Li1 0.113 0.387 0.000 x4
Pr1 0.181 0.681 0.000 x4
Sm1 0.000 0.000 0.000 x2
Mg1 0.000 0.500 0.500 x2
Mg2 0.060 0.216 0.500 x8